*A*
Density functional theory data (PBE) for an optimized crystal structure of NaNiBPd2.

Computed properties:
Spin magnetization ... 0.6 μB per cell
Volume ... 15.38 Å³/atom

Cell: 4.0758 4.0758 4.6294 Å, 90.00 90.00 90.00°
Closest atoms and distances in Å follow each position.
Space group P4/mmm (No. 123)
Asymmetric unit:
1 Na 0.0000 0.0000 0.0000 (multiplicity 1)  2 B 2.31
2 Ni 0.5000 0.5000 0.0000 (multiplicity 1)  4 Na 2.88, 8 Pd 3.08
3 B 0.0000 0.0000 0.5000 (multiplicity 1)  4 Pd 2.04
4 Pd 0.0000 0.5000 0.5000 (multiplicity 2)  2 B 2.04



*B*
Density functional theory data (PBE) for an optimized crystal structure of NaNiBPd2.

Computed properties:
Spin magnetization ... 0.0 μB per cell
Volume ... 14.04 Å³/atom

Cell: 4.2307 4.2307 3.9234 Å, 90.00 90.00 90.00°
Closest atoms and distances in Å follow each position.
Space group P4/mmm (No. 123)
Asymmetric unit:
1 Na 0.0000 0.0000 0.0000 (multiplicity 1)  8 Pd 2.88, 4 Ni 2.99
2 Ni 0.5000 0.5000 0.0000 (multiplicity 1)  2 B 1.96
3 B 0.5000 0.5000 0.5000 (multiplicity 1)  2 Ni 1.96, 4 Pd 2.12
4 Pd 0.0000 0.5000 0.5000 (multiplicity 2)  2 B 2.12



Which of them is most stable? Easy: *B*.



*A*
Density functional theory data (PBE) for an optimized crystal structure of NaB3O.

Computed properties:
Spin magnetization ... 0.0 μB per cell
Volume ... 18.63 Å³/atom

Cell: 4.5331 4.5331 4.5331 Å, 90.00 90.00 90.00°
Closest atoms and distances in Å follow each position.
Space group Pm-3m (No. 221)
Asymmetric unit:
1 Na 0.0000 0.0000 0.0000 (multiplicity 1)  6 B 2.27
2 B 0.0000 0.0000 0.5000 (multiplicity 3)  2 Na 2.27
3 O 0.5000 0.5000 0.5000 (multiplicity 1)  12 B 3.21



*B*
Density functional theory data (PBE) for an optimized crystal structure of NaB3O.

Computed properties:
Spin magnetization ... 0.0 μB per cell
Volume ... 11.39 Å³/atom

Cell: 3.8470 3.8470 3.8470 Å, 90.00 90.00 90.00°
Closest atoms and distances in Å follow each position.
Space group Pm-3m (No. 221)
Asymmetric unit:
1 Na 0.0000 0.0000 0.0000 (multiplicity 1)  12 B 2.72
2 B 0.0000 0.5000 0.5000 (multiplicity 3)  2 O 1.92
3 O 0.5000 0.5000 0.5000 (multiplicity 1)  6 B 1.92



Which of them is most stable? Easy: *B*.



*A*
Density functional theory data (PBE) for an optimized crystal structure of NaBPO2.

Computed properties:
Spin magnetization ... 3.5 μB per cell
Volume ... 17.32 Å³/atom

Cell: 3.9331 3.9331 5.5982 Å, 90.00 90.00 90.00°
Closest atoms and distances in Å follow each position.
Space group P4/mmm (No. 123)
Asymmetric unit:
1 Na 0.0000 0.0000 0.0000 (multiplicity 1)  4 O 1.97
2 B 0.5000 0.5000 0.5000 (multiplicity 1)  4 P 2.78
3 P 0.0000 0.0000 0.5000 (multiplicity 1)  4 B 2.78, 2 Na 2.80
4 O 0.0000 0.5000 0.0000 (multiplicity 2)  2 Na 1.97



*B*
Density functional theory data (PBE) for an optimized crystal structure of NaBPO2.

Computed properties:
Spin magnetization ... 0.0 μB per cell
Volume ... 11.09 Å³/atom

Cell: 3.8649 3.8649 3.7107 Å, 90.00 90.00 90.00°
Closest atoms and distances in Å follow each position.
Space group P4/mmm (No. 123)
Asymmetric unit:
1 Na 0.0000 0.0000 0.0000 (multiplicity 1)  8 O 2.68, 4 P 2.73
2 B 0.5000 0.5000 0.5000 (multiplicity 1)  2 P 1.86, 4 O 1.93
3 P 0.5000 0.5000 0.0000 (multiplicity 1)  2 B 1.86
4 O 0.0000 0.5000 0.5000 (multiplicity 2)  2 B 1.93



Which of them is most stable? Easy: *B*.



*A*
Density functional theory data (PBE) for an optimized crystal structure of NaUBO5.

Computed properties:
Spin magnetization ... 0.0 μB per cell
Volume ... 12.83 Å³/atom

Cell: 6.8307 8.5719 7.7921 Å, 90.00 115.87 90.00°
Closest atoms and distances in Å follow each position.
Space group C2/c (No. 15)
Asymmetric unit:
1 Na 0.0000 0.0969 0.2500 (multiplicity 4)  3 O 2.21-2.32
2 U 0.2500 0.2500 0.0000 (multiplicity 4)  6 O 2.09
3 B 0.0000 0.4330 0.2500 (multiplicity 4)  4 O 1.49-1.50
4 O 0.0000 0.1612 0.7500 (multiplicity 4)  2 U 2.09, 1 Na 2.21
5 O 0.0457 0.3288 0.1181 (multiplicity 8)  1 B 1.49
6 O 0.1943 0.4655 0.8608 (multiplicity 8)  1 B 1.50



*B*
Density functional theory data (PBE) for an optimized crystal structure of NaUBO5.

Computed properties:
Spin magnetization ... 0.0 μB per cell
Volume ... 13.85 Å³/atom

Cell: 5.9464 10.8019 6.8981 Å, 90.00 90.00 90.00°
Closest atoms and distances in Å follow each position.
Space group Pbcm (No. 57)
Asymmetric unit:
1 Na 0.1018 0.2500 0.0000 (multiplicity 4)  4 O 2.41-2.43
2 U 0.4034 0.5673 0.2500 (multiplicity 4)  2 O 1.84-1.86
3 B 0.3035 0.6488 0.7500 (multiplicity 4)  3 O 1.38-1.39
4 O 0.1627 0.0399 0.7500 (multiplicity 4)  1 U 1.84
5 O 0.1868 0.7412 0.2500 (multiplicity 4)  1 B 1.38
6 O 0.3479 0.1717 0.2500 (multiplicity 4)  1 U 1.86
7 O 0.3709 0.5885 0.5823 (multiplicity 8)  1 B 1.39



Which of them is most stable? Easy: *B*.



*A*
Density functional theory data (PBE) for an optimized crystal structure of NaB2Os.

Computed properties:
Spin magnetization ... 0.0 μB per cell
Volume ... 19.36 Å³/atom

Cell: 5.0613 5.0613 12.0895 Å, 90.00 90.00 90.00°
Closest atoms and distances in Å follow each position.
Space group I4_1/amd (No. 141, origin choice 2)
Asymmetric unit:
1 Na 0.0000 0.2500 0.3750 (multiplicity 4)  8 B 3.21, 4 Os 3.58
2 B 0.0000 0.0000 0.0000 (multiplicity 8)  2 Os 1.97
3 Os 0.0000 0.2500 0.8750 (multiplicity 4)  4 B 1.97



*B*
Density functional theory data (PBE) for an optimized crystal structure of NaB2Os.

Computed properties:
Spin magnetization ... 0.0 μB per cell
Volume ... 10.60 Å³/atom

Cell: 5.5359 5.5359 5.5359 Å, 90.00 90.00 90.00°
Closest atoms and distances in Å follow each position.
Space group Fm-3m (No. 225)
Asymmetric unit:
1 Na 0.0000 0.0000 0.0000 (multiplicity 4)  8 B 2.40
2 B 0.2500 0.2500 0.2500 (multiplicity 8)  4 Na 2.40, 4 Os 2.40
3 Os 0.0000 0.0000 0.5000 (multiplicity 4)  8 B 2.40



Which of them is most stable? Easy: *A*.



*A*
Density functional theory data (PBE) for an optimized crystal structure of NaBOs3.

Computed properties:
Spin magnetization ... 0.0 μB per cell
Volume ... 14.25 Å³/atom

Cell: 4.1461 4.1461 4.1461 Å, 90.00 90.00 90.00°
Closest atoms and distances in Å follow each position.
Space group Pm-3m (No. 221)
Asymmetric unit:
1 Na 0.0000 0.0000 0.0000 (multiplicity 1)  12 Os 2.93
2 B 0.5000 0.5000 0.5000 (multiplicity 1)  6 Os 2.07
3 Os 0.0000 0.5000 0.5000 (multiplicity 3)  2 B 2.07



*B*
Density functional theory data (PBE) for an optimized crystal structure of NaBOs3.

Computed properties:
Spin magnetization ... 3.9 μB per cell
Volume ... 17.49 Å³/atom

Cell: 4.4388 4.4388 4.4388 Å, 90.00 90.00 90.00°
Closest atoms and distances in Å follow each position.
Space group Pm-3m (No. 221)
Asymmetric unit:
1 Na 0.0000 0.0000 0.0000 (multiplicity 1)  6 Os 2.22
2 B 0.5000 0.5000 0.5000 (multiplicity 1)  12 Os 3.14
3 Os 0.0000 0.0000 0.5000 (multiplicity 3)  2 Na 2.22



Which of them is most stable? Easy: *A*.



*A*
Density functional theory data (PBE) for an optimized crystal structure of Na3BP2.

Computed properties:
Spin magnetization ... 0.0 μB per cell
Volume ... 24.47 Å³/atom

Cell: 6.5658 10.9686 8.1541 Å, 90.00 90.00 90.00°
Closest atoms and distances in Å follow each position.
Space group Ibam (No. 72)
Asymmetric unit:
1 Na 0.0000 0.0000 0.2500 (multiplicity 4)  4 P 2.90
2 Na 0.0000 0.3054 0.2500 (multiplicity 8)  2 P 2.76, 2 B 2.95
3 B 0.0000 0.5000 0.0000 (multiplicity 4)  2 P 1.80
4 P 0.2260 0.4072 0.0000 (multiplicity 8)  1 B 1.80



*B*
Density functional theory data (PBE) for an optimized crystal structure of Na3BP2.

Computed properties:
Spin magnetization ... 0.0 μB per cell
Volume ... 19.28 Å³/atom

Cell: 10.8072 3.3784 12.6737 Å, 90.00 90.00 90.00°
Closest atoms and distances in Å follow each position.
Space group Pnma (No. 62)
Asymmetric unit:
1 Na 0.0768 0.2500 0.1127 (multiplicity 4)  5 P 2.90-3.16
2 Na 0.1149 0.7500 0.5529 (multiplicity 4)  5 P 2.88-3.07, 3 B 2.89-3.07
3 Na 0.1652 0.2500 0.7819 (multiplicity 4)  2 B 2.81, 4 P 2.83-2.90
4 B 0.1552 0.2500 0.3709 (multiplicity 4)  3 P 1.92-2.00
5 P 0.0728 0.7500 0.3235 (multiplicity 4)  2 B 2.00
6 P 0.1997 0.7500 0.9588 (multiplicity 4)  1 B 1.92



*C*
Density functional theory data (PBE) for an optimized crystal structure of Na3BP2.

Computed properties:
Spin magnetization ... 0.0 μB per cell
Volume ... 23.13 Å³/atom

Cell: 6.9766 9.3162 9.1390 Å, 90.00 110.84 90.00°
Closest atoms and distances in Å follow each position.
Space group P2_1/c (No. 14)
Asymmetric unit:
1 Na 0.2204 0.0256 0.3896 (multiplicity 4)  4 P 2.94-3.17, 1 B 2.99
2 Na 0.2415 0.0679 0.9762 (multiplicity 4)  2 B 2.82-3.10, 3 P 2.97-3.05
3 Na 0.2647 0.7152 0.1828 (multiplicity 4)  4 P 2.82-2.89
4 B 0.2264 0.1711 0.6823 (multiplicity 4)  2 P 1.78
5 P 0.0013 0.7239 0.3647 (multiplicity 4)  1 B 1.78
6 P 0.4470 0.0593 0.7320 (multiplicity 4)  1 B 1.78



Which of them is most stable? Easy: *C*.



*A*
Density functional theory data (PBE) for an optimized crystal structure of NaBP3.

Computed properties:
Spin magnetization ... 0.0 μB per cell
Volume ... 22.40 Å³/atom

Cell: 4.8205 4.8205 4.8205 Å, 90.00 90.00 90.00°
Closest atoms and distances in Å follow each position.
Space group Pm-3m (No. 221)
Asymmetric unit:
1 Na 0.0000 0.0000 0.0000 (multiplicity 1)  6 P 2.41
2 B 0.5000 0.5000 0.5000 (multiplicity 1)  12 P 3.41
3 P 0.0000 0.0000 0.5000 (multiplicity 3)  2 Na 2.41



*B*
Density functional theory data (PBE) for an optimized crystal structure of NaBP3.

Computed properties:
Spin magnetization ... 0.0 μB per cell
Volume ... 15.66 Å³/atom

Cell: 4.2783 4.2783 4.2783 Å, 90.00 90.00 90.00°
Closest atoms and distances in Å follow each position.
Space group Pm-3m (No. 221)
Asymmetric unit:
1 Na 0.0000 0.0000 0.0000 (multiplicity 1)  12 P 3.03
2 B 0.5000 0.5000 0.5000 (multiplicity 1)  6 P 2.14
3 P 0.0000 0.5000 0.5000 (multiplicity 3)  2 B 2.14



Which of them is most stable? Easy: *B*.